SnPd3Pt | the Alexandria database | PBEsol | optimized geometry; DFT formation energy = 5.31 eV per formula unit; SG = Pm-3m (221); mass density = 9.8 g/cm3; Fermi-level density of states = 0.928 states/eV/atom
1.0
4.756 0.000 0.000
0.000 4.756 0.000
0.000 0.000 4.756
Sn Pd Pt
1 3 1
direct
0.000 0.000 0.000
0.000 0.000 0.500
0.000 0.500 0.000
0.500 0.000 0.000
0.500 0.500 0.500

=====

Mn2CdBr | the Alexandria database | PBEsol | optimized geometry; formation energy from raw total energies = 9.49 kcal/mol of atoms; SG = Cm (8); mass density = 5.6 g/cm3; Fermi-level density of states = 0.849 states/eV/atom
1.0
6.383 -1.539 0.000
6.383 1.539 0.000
-0.011 0.000 4.537
Mn Cd Br
2 1 1
direct
0.000 0.000 0.000
0.668 0.668 0.001
0.547 0.547 0.500
0.328 0.328 0.000

=====

TiMnSi2 | the Alexandria database | PBEsol | optimized geometry; formation energy from raw total energies = -16.61 kcal/mol of atoms; SG = Pbam (55); mass density = 5.2 g/cm3; Fermi-level density of states = 0.749 states/eV/atom
1.0
8.555 0.000 0.000
0.000 9.366 0.000
0.000 0.000 7.653
Ti Mn Si
12 12 24
direct
0.169 0.179 0.000
0.171 0.453 0.240
0.171 0.453 0.760
0.329 0.953 0.240
0.329 0.953 0.760
0.331 0.679 0.000
0.669 0.321 0.000
0.671 0.047 0.240
0.671 0.047 0.760
0.829 0.547 0.240
0.829 0.547 0.760
0.831 0.821 0.000
0.000 0.000 0.243
0.000 0.000 0.757
0.085 0.748 0.247
0.085 0.748 0.753
0.415 0.248 0.247
0.415 0.248 0.753
0.500 0.500 0.243
0.500 0.500 0.757
0.585 0.752 0.247
0.585 0.752 0.753
0.915 0.252 0.247
0.915 0.252 0.753
0.038 0.621 0.000
0.038 0.625 0.500
0.124 0.904 0.500
0.129 0.897 0.000
0.168 0.182 0.345
0.168 0.182 0.655
0.332 0.682 0.345
0.332 0.682 0.655
0.371 0.397 0.000
0.376 0.404 0.500
0.462 0.121 0.000
0.462 0.125 0.500
0.538 0.875 0.500
0.538 0.879 0.000
0.624 0.596 0.500
0.629 0.603 0.000
0.668 0.318 0.345
0.668 0.318 0.655
0.832 0.818 0.345
0.832 0.818 0.655
0.871 0.103 0.000
0.876 0.096 0.500
0.962 0.375 0.500
0.962 0.379 0.000

=====

NaCa2Tl2 | the Alexandria database | PBEsol | optimized geometry; DFT formation energy = -1.67 eV per formula unit; SG = P4/mbm (127); mass density = 5.7 g/cm3; Fermi-level density of states = 0.505 states/eV/atom
1.0
8.889 0.000 0.000
0.000 8.889 0.000
0.000 0.000 3.766
Na Ca Tl
2 4 4
direct
0.000 0.000 0.000
0.500 0.500 0.000
0.170 0.330 0.500
0.330 0.830 0.500
0.670 0.170 0.500
0.830 0.670 0.500
0.128 0.628 0.000
0.372 0.128 0.000
0.628 0.872 0.000
0.872 0.372 0.000

=====

KNaS2O7 | the Alexandria database | PBEsol | optimized geometry; formation energy from raw total energies = -38.93 kcal/mol of atoms; SG = P-1 (2); mass density = 2.6 g/cm3; Fermi-level density of states = 0.000 states/eV/atom
1.0
5.911 0.000 0.000
-0.641 7.146 0.000
-0.058 -1.474 7.294
K Na S O
2 2 4 14
direct
0.222 0.276 0.434
0.778 0.724 0.566
0.199 0.151 0.901
0.801 0.849 0.099
0.279 0.671 0.902
0.294 0.776 0.305
0.706 0.224 0.695
0.721 0.329 0.098
0.104 0.802 0.893
0.106 0.895 0.307
0.228 0.482 0.792
0.266 0.620 0.109
0.274 0.650 0.435
0.484 0.119 0.695
0.492 0.242 0.114
0.508 0.758 0.886
0.516 0.881 0.305
0.726 0.350 0.565
0.734 0.380 0.891
0.772 0.518 0.208
0.894 0.105 0.693
0.896 0.198 0.107

=====

ZrTlCl2 | the Alexandria database | PBEsol | optimized geometry; formation energy from raw total energies = -8.26 kcal/mol of atoms; SG = P4/mmm (123); mass density = 7.1 g/cm3; Fermi-level density of states = 0.708 states/eV/atom
1.0
5.139 0.000 0.000
0.000 5.139 0.000
0.000 0.000 3.269
Zr Tl Cl
1 1 2
direct
0.000 0.000 0.000
0.500 0.500 0.000
0.000 0.500 0.500
0.500 0.000 0.500

=====

TaTlCl2 | the Alexandria database | PBEsol | optimized geometry; formation energy from raw total energies = 10.99 kcal/mol of atoms; SG = Fm-3m (225); mass density = 9.9 g/cm3; Fermi-level density of states = 0.940 states/eV/atom
1.0
0.000 3.367 3.367
3.367 0.000 3.367
3.367 3.367 0.000
Ta Tl Cl
1 1 2
direct
0.000 0.000 0.000
0.500 0.500 0.500
0.250 0.250 0.250
0.750 0.750 0.750

=====

AlSb2Te2BrCl4 | the Alexandria database | PBEsol | optimized geometry; formation energy from raw total energies = -19.24 kcal/mol of atoms; SG = C2/c (15); mass density = 4.4 g/cm3
1.0
10.634 -4.134 0.000
10.634 4.134 0.000
-2.279 0.000 12.955
Al Sb Te Br Cl
4 8 8 4 16
direct
0.105 0.356 0.171
0.356 0.105 0.671
0.644 0.895 0.329
0.895 0.644 0.829
0.056 0.812 0.388
0.188 0.944 0.112
0.310 0.566 0.888
0.434 0.690 0.612
0.566 0.310 0.388
0.690 0.434 0.112
0.812 0.056 0.888
0.944 0.188 0.612
0.056 0.803 0.043
0.197 0.944 0.457
0.301 0.549 0.538
0.451 0.699 0.962
0.549 0.301 0.038
0.699 0.451 0.462
0.803 0.056 0.543
0.944 0.197 0.957
0.125 0.875 0.750
0.375 0.625 0.250
0.625 0.375 0.750
0.875 0.125 0.250
0.048 0.290 0.284
0.120 0.295 0.577
0.141 0.452 0.917
0.202 0.461 0.225
0.290 0.048 0.784
0.295 0.120 0.077
0.452 0.141 0.417
0.461 0.202 0.725
0.539 0.798 0.275
0.548 0.859 0.583
0.705 0.880 0.923
0.710 0.952 0.216
0.798 0.539 0.775
0.859 0.548 0.083
0.880 0.705 0.423
0.952 0.710 0.716

=====

BeFe2Re | the Alexandria database | PBEsol | optimized geometry; DFT formation energy = -0.06 eV per formula unit; SG = I4/mmm (139); mass density = 11.8 g/cm3; Fermi-level density of states = 0.747 states/eV/atom
1.0
-1.888 1.888 3.023
1.888 -1.888 3.023
1.888 1.888 -3.023
Be Fe Re
1 2 1
direct
0.000 0.000 0.000
0.250 0.750 0.500
0.750 0.250 0.500
0.500 0.500 0.000

=====

VW3 | the Alexandria database | PBEsol | optimized geometry; DFT formation energy = -0.34 eV per formula unit; SG = Fm-3m (225); mass density = 16.7 g/cm3; Fermi-level density of states = 0.362 states/eV/atom
1.0
0.000 3.107 3.107
3.107 0.000 3.107
3.107 3.107 0.000
V W
1 3
direct
0.000 0.000 0.000
0.250 0.250 0.250
0.500 0.500 0.500
0.750 0.750 0.750

=====

MoIrPt | the Alexandria database | PBEsol | optimized geometry; DFT formation energy = -0.94 eV per formula unit; SG = Imm2 (44); mass density = 18.3 g/cm3; Fermi-level density of states = 0.818 states/eV/atom
1.0
-1.365 1.937 4.146
1.365 -1.937 4.146
1.365 1.937 -4.146
Mo Ir Pt
1 1 1
direct
0.000 0.000 0.000
0.343 0.343 0.000
0.671 0.671 0.000

=====

YMg2Cu2 | the Alexandria database | PBEsol | optimized geometry; DFT formation energy = -0.64 eV per formula unit; SG = C2/m (12); mass density = 4.5 g/cm3; Fermi-level density of states = 0.552 states/eV/atom
1.0
4.966 -1.969 0.000
4.966 1.969 0.000
-1.182 0.000 5.019
Y Mg Cu
1 2 2
direct
0.000 0.000 0.000
0.350 0.350 0.423
0.650 0.650 0.577
0.282 0.282 0.889
0.718 0.718 0.111